[1]
## YP2I (PBE)

Data for an optimized crystal structure of YP2I.

DOS at the Fermi energy: 10.50 states/eV per cell
Raw formation energy: 0.8 eV per formula unit
Symmetry: I-42d
Distance to the lowest polymorph of the same formula: 0 meV/atom

```
YP2I
1.0
5.786 0.000 0.000
0.000 5.786 0.000
0.000 0.000 15.322
Y P I
4 8 4
Direct
0.000 0.000 0.000
0.000 0.500 0.250
0.500 0.000 0.750
0.500 0.500 0.500
0.233 0.250 0.125
0.250 0.733 0.375
0.250 0.767 0.875
0.267 0.250 0.625
0.733 0.750 0.625
0.750 0.233 0.875
0.750 0.267 0.375
0.767 0.750 0.125
0.000 0.000 0.500
0.000 0.500 0.750
0.500 0.000 0.250
0.500 0.500 0.000
```

=====

[2]
## PmTlTe2 (PBE)

Data for an optimized crystal structure of PmTlTe2.

Raw formation energy: -4.2 eV per formula unit
Symmetry: R3m
Distance to the lowest polymorph of the same formula: 20 meV/atom

```
PmTlTe2
1.0
4.523 0.000 0.000
-2.262 3.917 0.000
0.000 0.000 25.087
Pm Tl Te
3 3 6
Direct
0.000 0.000 0.000
0.333 0.667 0.667
0.667 0.333 0.333
0.000 0.000 0.831
0.333 0.667 0.498
0.667 0.333 0.164
0.000 0.000 0.405
0.000 0.000 0.595
0.333 0.667 0.072
0.333 0.667 0.261
0.667 0.333 0.739
0.667 0.333 0.928
```

=====

[3]
## PuMo2 (PBE)

Data for an optimized crystal structure of PuMo2.

DOS at the Fermi energy: 10.94 states/eV per cell
Symmetry: I4/mmm
Calculated formation energy: 0.72 eV/f.u.

```
PuMo2
1.0
3.187 0.000 0.000
0.000 3.187 0.000
0.000 0.000 10.952
Pu Mo
2 4
Direct
0.000 0.000 0.000
0.500 0.500 0.500
0.000 0.000 0.316
0.000 0.000 0.684
0.500 0.500 0.184
0.500 0.500 0.816
```

=====

[4]
## Ti5Bi3H (PBE)

Data for an optimized crystal structure of Ti5Bi3H.

DOS at the Fermi energy: 20.86 states/eV per cell
Symmetry: P6_3/mcm
Uncorrected energy: -6.1867 eV per atom

```
Ti5Bi3H
1.0
8.341 0.000 0.000
-4.170 7.223 0.000
0.000 0.000 5.488
Ti Bi H
10 6 2
Direct
0.000 0.204 0.250
0.000 0.796 0.750
0.204 0.000 0.250
0.204 0.204 0.750
0.333 0.667 0.000
0.333 0.667 0.500
0.667 0.333 0.000
0.667 0.333 0.500
0.796 0.000 0.750
0.796 0.796 0.250
0.000 0.392 0.750
0.000 0.608 0.250
0.392 0.000 0.750
0.392 0.392 0.250
0.608 0.000 0.250
0.608 0.608 0.750
0.000 0.000 0.000
0.000 0.000 0.500
```

=====

[5]
## PrTe2Pb (PBE)

Data for an optimized crystal structure of PrTe2Pb.

DOS at the Fermi energy: 6.65 states/eV per cell
Raw formation energy: -2.9 eV per formula unit
Symmetry: R-3m

```
PrTe2Pb
1.0
4.421 0.000 0.000
-2.211 3.829 0.000
0.000 0.000 30.046
Pr Te Pb
3 6 3
Direct
0.000 0.000 0.000
0.333 0.667 0.667
0.667 0.333 0.333
0.000 0.000 0.396
0.000 0.000 0.604
0.333 0.667 0.062
0.333 0.667 0.271
0.667 0.333 0.729
0.667 0.333 0.938
0.000 0.000 0.500
0.333 0.667 0.167
0.667 0.333 0.833
```

=====

[6]
## TaBi (PBE)

Data for an optimized crystal structure of TaBi.

DOS at the Fermi energy: 14.71 states/eV per cell
Symmetry: Pm-3n
Calculated formation energy: 3.28 eV/f.u.

```
TaBi
1.0
8.027 0.000 0.000
0.000 8.027 0.000
0.000 0.000 8.027
Ta Bi
6 6
Direct
0.000 0.250 0.500
0.000 0.750 0.500
0.250 0.500 0.000
0.500 0.000 0.250
0.500 0.000 0.750
0.750 0.500 0.000
0.000 0.500 0.250
0.000 0.500 0.750
0.250 0.000 0.500
0.500 0.250 0.000
0.500 0.750 0.000
0.750 0.000 0.500
```

=====

[7]
## Ti2Al5Co2Cu (PBE)

Data for an optimized crystal structure of Ti2Al5Co2Cu.

DOS at the Fermi energy: 8.02 states/eV per cell
Symmetry: P4/mbm
Calculated formation energy: -3.98 eV/f.u.

```
Ti2Al5Co2Cu
1.0
8.618 0.000 0.000
0.000 8.618 0.000
0.000 0.000 3.875
Ti Al Co Cu
4 10 4 2
Direct
0.176 0.324 0.000
0.324 0.824 0.000
0.676 0.176 0.000
0.824 0.676 0.000
0.000 0.500 0.500
0.069 0.794 0.500
0.206 0.069 0.500
0.294 0.569 0.500
0.431 0.294 0.500
0.500 0.000 0.500
0.569 0.706 0.500
0.706 0.431 0.500
0.794 0.931 0.500
0.931 0.206 0.500
0.117 0.617 0.000
0.383 0.117 0.000
0.617 0.883 0.000
0.883 0.383 0.000
0.000 0.000 0.000
0.500 0.500 0.000
```

=====

[8]
## MgTl2TeSe4 (PBE)

Data for an optimized crystal structure of MgTl2TeSe4.

DOS at the Fermi energy: 2.41 states/eV per cell
Raw formation energy: -3.6 eV per formula unit
Symmetry: Imma

```
MgTl2TeSe4
1.0
-4.186 4.324 6.012
4.186 -4.324 6.012
4.186 4.324 -6.012
Mg Tl Te Se
2 4 2 8
Direct
0.500 0.000 0.000
0.500 0.500 0.500
0.000 0.000 0.000
0.000 0.000 0.500
0.000 0.500 0.000
0.500 0.000 0.500
0.000 0.500 0.500
0.500 0.500 0.000
0.266 0.285 0.519
0.266 0.747 0.981
0.275 0.739 0.536
0.297 0.261 0.036
0.703 0.739 0.964
0.725 0.261 0.464
0.734 0.253 0.019
0.734 0.715 0.481
```

=====

[9]
## Hf2NbRhW (PBE)

Data for an optimized crystal structure of Hf2NbRhW.

DOS at the Fermi energy: 7.34 states/eV per cell
Symmetry: P4/mmm
Calculated formation energy: 5.10 eV/f.u.

```
Hf2NbRhW
1.0
4.848 0.000 0.000
0.000 4.848 0.000
0.000 0.000 4.789
Hf Nb Rh W
2 1 1 1
Direct
0.000 0.500 0.000
0.500 0.000 0.000
0.000 0.000 0.500
0.000 0.000 0.000
0.500 0.500 0.500
```

=====

[10]
## AlSbRuO6 (PBE)

Data for an optimized crystal structure of AlSbRuO6.

DOS at the Fermi energy: 5.32 states/eV per cell
Raw formation energy: -14.1 eV per formula unit
Symmetry: P-31c

```
AlSbRuO6
1.0
5.033 0.000 0.000
-2.517 4.359 0.000
0.000 0.000 8.666
Al Sb Ru O
2 2 2 12
Direct
0.333 0.667 0.250
0.667 0.333 0.750
0.333 0.667 0.750
0.667 0.333 0.250
0.000 0.000 0.000
0.000 0.000 0.500
0.016 0.346 0.129
0.016 0.670 0.371
0.330 0.346 0.371
0.330 0.984 0.129
0.346 0.016 0.629
0.346 0.330 0.871
0.654 0.670 0.129
0.654 0.984 0.371
0.670 0.016 0.871
0.670 0.654 0.629
0.984 0.330 0.629
0.984 0.654 0.871
```

=====

[11]
## Nd4HgSe2Br (PBE)

Data for an optimized crystal structure of Nd4HgSe2Br.

DOS at the Fermi energy: 4.77 states/eV per cell
Raw formation energy: -10.6 eV per formula unit
Symmetry: P2/m

```
Nd4HgSe2Br
1.0
7.468 0.000 0.000
0.000 4.199 0.000
-2.325 0.000 7.212
Nd Hg Se Br
4 1 2 1
Direct
0.234 0.000 0.228
0.254 0.500 0.763
0.746 0.500 0.237
0.766 0.000 0.772
0.000 0.000 0.500
0.000 0.500 0.000
0.500 0.000 0.000
0.500 0.500 0.500
```

=====

[12]
## La2Mn2Ag (PBE)

Data for an optimized crystal structure of La2Mn2Ag.

DOS at the Fermi energy: 7.41 states/eV per cell
Symmetry: P4/mbm
Calculated formation energy: 0.85 eV/f.u.

```
La2Mn2Ag
1.0
7.673 0.000 0.000
0.000 7.673 0.000
0.000 0.000 4.101
La Mn Ag
4 4 2
Direct
0.174 0.326 0.000
0.326 0.826 0.000
0.674 0.174 0.000
0.826 0.674 0.000
0.118 0.618 0.500
0.382 0.118 0.500
0.618 0.882 0.500
0.882 0.382 0.500
0.000 0.000 0.500
0.500 0.500 0.500
```

=====

| no. | V (A^3/atom) |
| --- | --- |
| 1 | 32.062 |
| 2 | 37.042 |
| 3 | 18.536 |
| 4 | 18.369 |
| 5 | 42.384 |
| 6 | 43.093 |
| 7 | 14.392 |
| 8 | 27.205 |
| 9 | 22.514 |
| 10 | 10.562 |
| 11 | 28.271 |
| 12 | 24.145 |